First-principles (PBE-GGA) data for a geometry-optimized Ho2Sc2CIBr2Cl2 structure, as listed in OQMD via LeMat-Bulk.

Cell lengths 8.6820, 8.6820, 8.0584 Å; angles 104.07, 104.07, 24.88 degrees
Element x y z (fractional)
1 Cl 0.8337 0.8337 0.1538
2 Cl 0.1663 0.1663 0.8462
3 C 0.5000 0.5000 0.0000
4 Br 0.1663 0.1663 0.3415
5 Br 0.8337 0.8337 0.6585
6 Ho 0.6424 0.6424 0.0745
7 Ho 0.3576 0.3576 0.9255
8 Sc 0.9994 0.9994 0.1827
9 Sc 0.0006 0.0006 0.8173
10 I 0.5000 0.5000 0.5000

Calculated values
Relative energy among the computed polymorphs = 25.3 meV per atom
Uncorrected energy = -5.390 eV per atom